[1]
Material: Hf3TlRe
Method: DFT, PBE
State: optimized geometry

```
data_Hf3TlRe
_chemical_formula_sum 'Hf3 Tl1 Re1'
_cell_length_a 5.0582
_cell_length_b 5.0582
_cell_length_c 5.0582
_cell_angle_alpha 90.00
_cell_angle_beta 90.00
_cell_angle_gamma 90.00
_space_group_name_H-M_alt 'P 1'
_space_group_IT_number 1
loop_
_space_group_symop_operation_xyz
'x,y,z'
loop_
_atom_site_label
_atom_site_type_symbol
_atom_site_fract_x
_atom_site_fract_y
_atom_site_fract_z
Re1 Re 0.0000 0.0000 0.0000
Tl1 Tl 0.5000 0.5000 0.5000
Hf1 Hf 0.0000 0.5000 0.0000
Hf2 Hf 0.0000 0.0000 0.5000
Hf3 Hf 0.5000 0.0000 0.0000
```

Calculated values
* calculated volume: 129.4 Å³ per cell
* total magnetic moment: 0.00 Bohr magnetons per cell
* energy of formation: 584.6 meV per atom
* crystal system: cubic
* offset from the most stable computed form: 0.0000 eV/atom

[2]
Material: Y2HfZrGe
Method: DFT, PBE
State: optimized geometry

```
data_Y2HfZrGe
_chemical_formula_sum 'Y2 Hf1 Zr1 Ge1'
_cell_length_a 5.3656
_cell_length_b 5.1271
_cell_length_c 5.3656
_cell_angle_alpha 90.00
_cell_angle_beta 90.00
_cell_angle_gamma 90.00
_space_group_name_H-M_alt 'P 1'
_space_group_IT_number 1
loop_
_space_group_symop_operation_xyz
'x,y,z'
loop_
_atom_site_label
_atom_site_type_symbol
_atom_site_fract_x
_atom_site_fract_y
_atom_site_fract_z
Y1 Y 0.0000 0.0000 0.5000
Y2 Y 0.5000 0.0000 0.0000
Ge1 Ge 0.0000 0.0000 0.0000
Hf1 Hf 0.5000 0.5000 0.5000
Zr1 Zr 0.0000 0.5000 0.0000
```

Calculated values
* calculated volume: 147.6 Å³ per cell
* total magnetic moment: 2.90 Bohr magnetons per cell
* energy of formation: 318.0 meV per atom
* crystal system: tetragonal

Copy entry 2 word for word.
Material: Y2HfZrGe
Method: DFT, PBE
State: optimized geometry

```
data_Y2HfZrGe
_chemical_formula_sum 'Y2 Hf1 Zr1 Ge1'
_cell_length_a 5.3656
_cell_length_b 5.1271
_cell_length_c 5.3656
_cell_angle_alpha 90.00
_cell_angle_beta 90.00
_cell_angle_gamma 90.00
_space_group_name_H-M_alt 'P 1'
_space_group_IT_number 1
loop_
_space_group_symop_operation_xyz
'x,y,z'
loop_
_atom_site_label
_atom_site_type_symbol
_atom_site_fract_x
_atom_site_fract_y
_atom_site_fract_z
Y1 Y 0.0000 0.0000 0.5000
Y2 Y 0.5000 0.0000 0.0000
Ge1 Ge 0.0000 0.0000 0.0000
Hf1 Hf 0.5000 0.5000 0.5000
Zr1 Zr 0.0000 0.5000 0.0000
```

Calculated values
* calculated volume: 147.6 Å³ per cell
* total magnetic moment: 2.90 Bohr magnetons per cell
* energy of formation: 318.0 meV per atom
* crystal system: tetragonal

Repeat the first record exactly.
Material: Hf3TlRe
Method: DFT, PBE
State: optimized geometry

```
data_Hf3TlRe
_chemical_formula_sum 'Hf3 Tl1 Re1'
_cell_length_a 5.0582
_cell_length_b 5.0582
_cell_length_c 5.0582
_cell_angle_alpha 90.00
_cell_angle_beta 90.00
_cell_angle_gamma 90.00
_space_group_name_H-M_alt 'P 1'
_space_group_IT_number 1
loop_
_space_group_symop_operation_xyz
'x,y,z'
loop_
_atom_site_label
_atom_site_type_symbol
_atom_site_fract_x
_atom_site_fract_y
_atom_site_fract_z
Re1 Re 0.0000 0.0000 0.0000
Tl1 Tl 0.5000 0.5000 0.5000
Hf1 Hf 0.0000 0.5000 0.0000
Hf2 Hf 0.0000 0.0000 0.5000
Hf3 Hf 0.5000 0.0000 0.0000
```

Calculated values
* calculated volume: 129.4 Å³ per cell
* total magnetic moment: 0.00 Bohr magnetons per cell
* energy of formation: 584.6 meV per atom
* crystal system: cubic
* offset from the most stable computed form: 0.0000 eV/atom

Please write out number 2 again, unchanged.
Material: Y2HfZrGe
Method: DFT, PBE
State: optimized geometry

```
data_Y2HfZrGe
_chemical_formula_sum 'Y2 Hf1 Zr1 Ge1'
_cell_length_a 5.3656
_cell_length_b 5.1271
_cell_length_c 5.3656
_cell_angle_alpha 90.00
_cell_angle_beta 90.00
_cell_angle_gamma 90.00
_space_group_name_H-M_alt 'P 1'
_space_group_IT_number 1
loop_
_space_group_symop_operation_xyz
'x,y,z'
loop_
_atom_site_label
_atom_site_type_symbol
_atom_site_fract_x
_atom_site_fract_y
_atom_site_fract_z
Y1 Y 0.0000 0.0000 0.5000
Y2 Y 0.5000 0.0000 0.0000
Ge1 Ge 0.0000 0.0000 0.0000
Hf1 Hf 0.5000 0.5000 0.5000
Zr1 Zr 0.0000 0.5000 0.0000
```

Calculated values
* calculated volume: 147.6 Å³ per cell
* total magnetic moment: 2.90 Bohr magnetons per cell
* energy of formation: 318.0 meV per atom
* crystal system: tetragonal

What did the first record say?
Material: Hf3TlRe
Method: DFT, PBE
State: optimized geometry

```
data_Hf3TlRe
_chemical_formula_sum 'Hf3 Tl1 Re1'
_cell_length_a 5.0582
_cell_length_b 5.0582
_cell_length_c 5.0582
_cell_angle_alpha 90.00
_cell_angle_beta 90.00
_cell_angle_gamma 90.00
_space_group_name_H-M_alt 'P 1'
_space_group_IT_number 1
loop_
_space_group_symop_operation_xyz
'x,y,z'
loop_
_atom_site_label
_atom_site_type_symbol
_atom_site_fract_x
_atom_site_fract_y
_atom_site_fract_z
Re1 Re 0.0000 0.0000 0.0000
Tl1 Tl 0.5000 0.5000 0.5000
Hf1 Hf 0.0000 0.5000 0.0000
Hf2 Hf 0.0000 0.0000 0.5000
Hf3 Hf 0.5000 0.0000 0.0000
```

Calculated values
* calculated volume: 129.4 Å³ per cell
* total magnetic moment: 0.00 Bohr magnetons per cell
* energy of formation: 584.6 meV per atom
* crystal system: cubic
* offset from the most stable computed form: 0.0000 eV/atom